(1)
DFT (PBE-GGA) results for a relaxed structure of RbTbBeTe3.

Computed properties:
For the total magnetic moment, the calculation gives 0.00 μB/f.u. The uncorrected formation energy comes out at -95.3 kJ per mole of atoms.

a b c (Å): 21.3230 4.2915 9.1965
angles (deg): 90.00 100.59 90.00
Space group C2/m (No. 12)
One atom of each set of equivalent atoms:
Rb (0.1381, 0.0000, 0.4524) x4
Tb (0.1613, 0.0000, 0.9473) x4
Be (0.0213, 0.5000, 0.8688) x4
Te (0.0352, 0.0000, 0.7314) x4
Te (0.0956, 0.5000, 0.1142) x4
Te (0.2253, 0.5000, 0.7823) x4

=====

(2)
DFT (PBE-GGA) results for a relaxed structure of CaIrRh.

Computed properties:
For the total magnetic moment, the calculation gives 0.00 μB/f.u. As for the calculated formation energy: 0.947 eV/atom. For the polymorph energy (0 for the lowest one), the calculation gives 1396 meV per atom. The density of states at the Fermi level comes out at 22.77 states/eV/cell.

a b c (Å): 6.2701 6.2701 6.2701
angles (deg): 90.00 90.00 90.00
Space group F-43m (No. 216)
One atom of each set of equivalent atoms:
Ca (0.0000, 0.0000, 0.0000) x4
Ir (0.2500, 0.2500, 0.7500) x4
Rh (0.2500, 0.2500, 0.2500) x4

=====

(3)
DFT (PBE-GGA) results for a relaxed structure of Pr2Ni3IrPt12.

Computed properties:
For the total magnetic moment, the calculation gives 2.50 μB/f.u. As for the calculated formation energy: -0.032 eV/atom. The density of states at the Fermi level comes out at 68.64 states/eV/cell.

a b c (Å): 6.7509 6.7509 26.1751
angles (deg): 90.00 90.00 120.00
Space group R-3m (No. 166, hexagonal axes)
One atom of each set of equivalent atoms:
Pr (0.0000, 0.0000, 0.1570) x6
Ni (0.0000, 0.5000, 0.0000) x9
Ir (0.0000, 0.0000, 0.5000) x3
Pt (0.0430, 0.5215, 0.0957) x18
Pt (0.0654, 0.5327, 0.6208) x18

=====

Copy entry 2 word for word.
DFT (PBE-GGA) results for a relaxed structure of CaIrRh.

Computed properties:
For the total magnetic moment, the calculation gives 0.00 μB/f.u. As for the calculated formation energy: 0.947 eV/atom. For the polymorph energy (0 for the lowest one), the calculation gives 1396 meV per atom. The density of states at the Fermi level comes out at 22.77 states/eV/cell.

a b c (Å): 6.2701 6.2701 6.2701
angles (deg): 90.00 90.00 90.00
Space group F-43m (No. 216)
One atom of each set of equivalent atoms:
Ca (0.0000, 0.0000, 0.0000) x4
Ir (0.2500, 0.2500, 0.7500) x4
Rh (0.2500, 0.2500, 0.2500) x4